(1)
# PBE KBa2PtO, relaxed
# **E_form (uncorrected)**: 643.5 meV/atom
# **Mass density**: 4.5 g/cm3
# **Electronic total energy**: -2.545 eV/atom
data_KBa2PtO
_cell_length_a 6.204
_cell_length_b 6.204
_cell_length_c 5.006
_cell_angle_alpha 90.00
_cell_angle_beta 90.00
_cell_angle_gamma 90.00
_symmetry_space_group_name_H-M 'P 4/m m m'
_symmetry_Int_Tables_number 123
_symmetry_space_group_name_Hall '-P 4 2'
loop_
_atom_site_label
_atom_site_type_symbol
_atom_site_fract_x
_atom_site_fract_y
_atom_site_fract_z
_atom_site_occupancy
K1 K 0.000 0.000 0.000 1
Ba1 Ba 0.000 0.500 0.000 1
Pt1 Pt 0.000 0.000 0.500 1
O1 O 0.500 0.500 0.500 1

=====

(2)
# PBE CsReHgRh2, relaxed
# **E_form**: 837 meV per atom
# **Mass density**: 9.3 g/cm3
# **Electronic total energy**: -4.825 eV/atom
data_CsReHgRh2
_cell_length_a 4.823
_cell_length_b 4.823
_cell_length_c 5.572
_cell_angle_alpha 90.00
_cell_angle_beta 90.00
_cell_angle_gamma 90.00
_symmetry_space_group_name_H-M 'P 4/m m m'
_symmetry_Int_Tables_number 123
_symmetry_space_group_name_Hall '-P 4 2'
loop_
_atom_site_label
_atom_site_type_symbol
_atom_site_fract_x
_atom_site_fract_y
_atom_site_fract_z
_atom_site_occupancy
Cs1 Cs 0.000 0.000 0.000 1
Re1 Re 0.500 0.500 0.500 1
Hg1 Hg 0.500 0.500 0.000 1
Rh1 Rh 0.000 0.500 0.500 1

=====

(3)
# PBE Li2CaMnOs, relaxed
# **E_form**: 560 meV per atom
# **Energy relative to the lowest polymorph listed for this composition**: 0 meV/atom
# **Mass density**: 5.0 g/cm3
# **Electronic total energy**: -4.686 eV/atom
data_Li2CaMnOs
_cell_length_a 4.726
_cell_length_b 4.726
_cell_length_c 4.430
_cell_angle_alpha 90.00
_cell_angle_beta 90.00
_cell_angle_gamma 90.00
_symmetry_space_group_name_H-M 'P 4/m m m'
_symmetry_Int_Tables_number 123
_symmetry_space_group_name_Hall '-P 4 2'
loop_
_atom_site_label
_atom_site_type_symbol
_atom_site_fract_x
_atom_site_fract_y
_atom_site_fract_z
_atom_site_occupancy
Li1 Li 0.000 0.500 0.000 1
Ca1 Ca 0.000 0.000 0.500 1
Mn1 Mn 0.500 0.500 0.000 1
Os1 Os 0.500 0.500 0.500 1

=====

(4)
# PBE Rb3Ac2SnTe6, relaxed
# **E_form (uncorrected)**: -1141.2 meV/atom
# **Mass density**: 5.2 g/cm3
# **Electronic total energy**: -3.972 eV/atom
data_Rb3Ac2SnTe6
_cell_length_a 8.293
_cell_length_b 14.372
_cell_length_c 9.030
_cell_angle_alpha 90.00
_cell_angle_beta 107.91
_cell_angle_gamma 90.00
_symmetry_space_group_name_H-M 'C 1 2/m 1'
_symmetry_Int_Tables_number 12
_symmetry_space_group_name_Hall '-C 2y'
loop_
_atom_site_label
_atom_site_type_symbol
_atom_site_fract_x
_atom_site_fract_y
_atom_site_fract_z
_atom_site_occupancy
Rb1 Rb 0.000 0.000 0.000 1
Rb2 Rb 0.000 0.331 0.000 1
Ac1 Ac 0.000 0.166 0.500 1
Sn1 Sn 0.000 0.500 0.500 1
Te1 Te 0.228 0.341 0.707 1
Te2 Te 0.247 0.500 0.293 1

=====

(5)
# PBE Cr4SiPt, relaxed
# **E_form (uncorrected)**: 123.9 meV/atom
# **Mass density**: 9.4 g/cm3
# **Electronic total energy**: -8.202 eV/atom
data_Cr4SiPt
_cell_length_a 6.719
_cell_length_b 6.719
_cell_length_c 6.719
_cell_angle_alpha 90.00
_cell_angle_beta 90.00
_cell_angle_gamma 90.00
_symmetry_space_group_name_H-M 'F -4 3 m'
_symmetry_Int_Tables_number 216
_symmetry_space_group_name_Hall 'F -4 2 3'
loop_
_atom_site_label
_atom_site_type_symbol
_atom_site_fract_x
_atom_site_fract_y
_atom_site_fract_z
_atom_site_occupancy
Cr1 Cr 0.123 0.123 0.377 1
Si1 Si 0.250 0.250 0.750 1
Pt1 Pt 0.000 0.000 0.000 1

=====

(6)
# PBE HoZn2Ni2Ge, relaxed
# **E_form**: -182 meV per atom
# **Mass density**: 7.7 g/cm3
# **Electronic total energy**: -4.067 eV/atom
data_HoZn2Ni2Ge
_cell_length_a 4.371
_cell_length_b 4.371
_cell_length_c 5.516
_cell_angle_alpha 90.00
_cell_angle_beta 90.00
_cell_angle_gamma 90.00
_symmetry_space_group_name_H-M 'P 4/m m m'
_symmetry_Int_Tables_number 123
_symmetry_space_group_name_Hall '-P 4 2'
loop_
_atom_site_label
_atom_site_type_symbol
_atom_site_fract_x
_atom_site_fract_y
_atom_site_fract_z
_atom_site_occupancy
Ho1 Ho 0.000 0.000 0.000 1
Zn1 Zn 0.500 0.500 0.237 1
Ni1 Ni 0.000 0.500 0.500 1
Ge1 Ge 0.000 0.000 0.500 1

=====

(7)
# PBE Sm3SnH, relaxed
# **Energy relative to the lowest polymorph listed for this composition**: 0 meV/atom
# **Mass density**: 8.0 g/cm3
# **Electronic total energy**: -4.805 eV/atom
data_Sm3SnH
_cell_length_a 4.907
_cell_length_b 4.907
_cell_length_c 4.907
_cell_angle_alpha 90.00
_cell_angle_beta 90.00
_cell_angle_gamma 90.00
_symmetry_space_group_name_H-M 'P m -3 m'
_symmetry_Int_Tables_number 221
_symmetry_space_group_name_Hall '-P 4 2 3'
loop_
_atom_site_label
_atom_site_type_symbol
_atom_site_fract_x
_atom_site_fract_y
_atom_site_fract_z
_atom_site_occupancy
Sm1 Sm 0.000 0.000 0.500 1
Sn1 Sn 0.500 0.500 0.500 1
H1 H 0.000 0.000 0.000 1

=====

(8)
# PBE FeRe2Hg, relaxed
# **E_form**: 492 meV per atom
# **Energy relative to the lowest polymorph listed for this composition**: 121 meV/atom
# **Mass density**: 16.9 g/cm3
# **Electronic total energy**: -7.924 eV/atom
data_FeRe2Hg
_cell_length_a 2.7735
_cell_length_b 2.7735
_cell_length_c 27.8584
_cell_angle_alpha 90.00
_cell_angle_beta 90.00
_cell_angle_gamma 120.00
_symmetry_space_group_name_H-M 'R -3 m'
_symmetry_Int_Tables_number 166
_symmetry_space_group_name_Hall '-R 3 2"'
loop_
_atom_site_label
_atom_site_type_symbol
_atom_site_fract_x
_atom_site_fract_y
_atom_site_fract_z
_atom_site_occupancy
Fe1 Fe 0.0000 0.0000 0.0000 1
Re1 Re 0.0000 0.0000 0.2605 1
Hg1 Hg 0.0000 0.0000 0.5000 1

=====

(9)
# PBE CdGe2Se2, relaxed
# **E_form (uncorrected)**: 44.3 meV/atom
# **Energy relative to the lowest polymorph listed for this composition**: 23 meV/atom
# **Mass density**: 5.7 g/cm3
# **Electronic total energy**: -3.380 eV/atom
data_CdGe2Se2
_cell_length_a 8.125
_cell_length_b 8.125
_cell_length_c 3.666
_cell_angle_alpha 90.00
_cell_angle_beta 90.00
_cell_angle_gamma 90.00
_symmetry_space_group_name_H-M 'P 4/m b m'
_symmetry_Int_Tables_number 127
_symmetry_space_group_name_Hall '-P 4 2ab'
loop_
_atom_site_label
_atom_site_type_symbol
_atom_site_fract_x
_atom_site_fract_y
_atom_site_fract_z
_atom_site_occupancy
Cd1 Cd 0.000 0.000 0.000 1
Ge1 Ge 0.188 0.312 0.500 1
Se1 Se 0.156 0.656 0.000 1

=====

(10)
# PBE TlMoIr2, relaxed
# **E_form**: 422 meV per atom
# **Energy relative to the lowest polymorph listed for this composition**: 334 meV/atom
# **Mass density**: 17.2 g/cm3
# **Electronic total energy**: -7.308 eV/atom
data_TlMoIr2
_cell_length_a 3.988
_cell_length_b 3.988
_cell_length_c 8.315
_cell_angle_alpha 90.00
_cell_angle_beta 90.00
_cell_angle_gamma 90.00
_symmetry_space_group_name_H-M 'I -4 m 2'
_symmetry_Int_Tables_number 119
_symmetry_space_group_name_Hall 'I -4 -2'
loop_
_atom_site_label
_atom_site_type_symbol
_atom_site_fract_x
_atom_site_fract_y
_atom_site_fract_z
_atom_site_occupancy
Tl1 Tl 0.000 0.000 0.000 1
Mo1 Mo 0.000 0.500 0.250 1
Ir1 Ir 0.000 0.000 0.500 1
Ir2 Ir 0.000 0.500 0.750 1

=====

(11)
# PBE ZnCdRh2, relaxed
# **E_form**: -120 meV per atom
# **Mass density**: 10.2 g/cm3
# **Electronic total energy**: -4.343 eV/atom
data_ZnCdRh2
_cell_length_a 2.837
_cell_length_b 4.137
_cell_length_c 5.471
_cell_angle_alpha 90.00
_cell_angle_beta 103.66
_cell_angle_gamma 90.00
_symmetry_space_group_name_H-M 'P 1 2/m 1'
_symmetry_Int_Tables_number 10
_symmetry_space_group_name_Hall '-P 2y'
loop_
_atom_site_label
_atom_site_type_symbol
_atom_site_fract_x
_atom_site_fract_y
_atom_site_fract_z
_atom_site_occupancy
Zn1 Zn 0.000 0.000 0.000 1
Cd1 Cd 0.000 0.000 0.500 1
Rh1 Rh 0.382 0.500 0.229 1

=====

(12)
# PBE AgAsBr2N, relaxed
# **E_form (uncorrected)**: 1772.3 meV/atom
# **Energy relative to the lowest polymorph listed for this composition**: 920 meV/atom
# **Mass density**: 4.4 g/cm3
# **Electronic total energy**: -2.062 eV/atom
data_AgAsBr2N
_cell_length_a 5.124
_cell_length_b 5.124
_cell_length_c 5.183
_cell_angle_alpha 90.00
_cell_angle_beta 90.00
_cell_angle_gamma 90.00
_symmetry_space_group_name_H-M 'P 4/m m m'
_symmetry_Int_Tables_number 123
_symmetry_space_group_name_Hall '-P 4 2'
loop_
_atom_site_label
_atom_site_type_symbol
_atom_site_fract_x
_atom_site_fract_y
_atom_site_fract_z
_atom_site_occupancy
Ag1 Ag 0.000 0.000 0.000 1
As1 As 0.000 0.000 0.500 1
Br1 Br 0.000 0.500 0.000 1
N1 N 0.500 0.500 0.500 1

=====

(13)
# PBE Tm4AlHg, relaxed
# **E_form**: -75 meV per atom
# **Mass density**: 8.5 g/cm3
# **Electronic total energy**: -3.730 eV/atom
data_Tm4AlHg
_cell_length_a 4.9906
_cell_length_b 4.9906
_cell_length_c 24.5911
_cell_angle_alpha 90.00
_cell_angle_beta 90.00
_cell_angle_gamma 120.00
_symmetry_space_group_name_H-M 'R -3 m'
_symmetry_Int_Tables_number 166
_symmetry_space_group_name_Hall '-R 3 2"'
loop_
_atom_site_label
_atom_site_type_symbol
_atom_site_fract_x
_atom_site_fract_y
_atom_site_fract_z
_atom_site_occupancy
Tm1 Tm 0.0000 0.0000 0.1239 1
Tm2 Tm 0.0000 0.0000 0.3746 1
Al1 Al 0.0000 0.0000 0.0000 1
Hg1 Hg 0.0000 0.0000 0.5000 1

=====

(14)
# PBE CrCu2As, relaxed
# **E_form**: 452 meV per atom
# **Mass density**: 7.8 g/cm3
# **Electronic total energy**: -5.165 eV/atom
data_CrCu2As
_cell_length_a 2.7137
_cell_length_b 2.7137
_cell_length_c 25.5304
_cell_angle_alpha 90.00
_cell_angle_beta 90.00
_cell_angle_gamma 120.00
_symmetry_space_group_name_H-M 'R -3 m'
_symmetry_Int_Tables_number 166
_symmetry_space_group_name_Hall '-R 3 2"'
loop_
_atom_site_label
_atom_site_type_symbol
_atom_site_fract_x
_atom_site_fract_y
_atom_site_fract_z
_atom_site_occupancy
Cr1 Cr 0.0000 0.0000 0.0000 1
Cu1 Cu 0.0000 0.0000 0.2528 1
As1 As 0.0000 0.0000 0.5000 1

=====

(15)
# PBE Sm3Cd4Pb2, relaxed
# **E_form**: -372 meV per atom
# **Mass density**: 8.9 g/cm3
# **Electronic total energy**: -3.176 eV/atom
data_Sm3Cd4Pb2
_cell_length_a 11.675
_cell_length_b 4.894
_cell_length_c 9.371
_cell_angle_alpha 90.00
_cell_angle_beta 114.14
_cell_angle_gamma 90.00
_symmetry_space_group_name_H-M 'C 1 2/m 1'
_symmetry_Int_Tables_number 12
_symmetry_space_group_name_Hall '-C 2y'
loop_
_atom_site_label
_atom_site_type_symbol
_atom_site_fract_x
_atom_site_fract_y
_atom_site_fract_z
_atom_site_occupancy
Sm1 Sm 0.000 0.000 0.000 1
Sm2 Sm 0.176 0.500 0.656 1
Cd1 Cd 0.008 0.000 0.354 1
Cd2 Cd 0.248 0.500 0.070 1
Pb1 Pb 0.117 0.500 0.281 1

=====

(16)
# PBE Tc2MoH, relaxed
# **Energy relative to the lowest polymorph listed for this composition**: 968 meV/atom
# **Mass density**: 6.6 g/cm3
# **Electronic total energy**: -7.693 eV/atom
data_Tc2MoH
_cell_length_a 4.0645
_cell_length_b 4.0645
_cell_length_c 15.4088
_cell_angle_alpha 90.00
_cell_angle_beta 90.00
_cell_angle_gamma 120.00
_symmetry_space_group_name_H-M 'R -3 m'
_symmetry_Int_Tables_number 166
_symmetry_space_group_name_Hall '-R 3 2"'
loop_
_atom_site_label
_atom_site_type_symbol
_atom_site_fract_x
_atom_site_fract_y
_atom_site_fract_z
_atom_site_occupancy
Tc1 Tc 0.0000 0.0000 0.1126 1
Mo1 Mo 0.0000 0.0000 0.5000 1
H1 H 0.0000 0.0000 0.0000 1

=====

(17)
# PBE CaAcCdGa, relaxed
# **E_form**: -414 meV per atom
# **Mass density**: 6.3 g/cm3
# **Electronic total energy**: -2.927 eV/atom
data_CaAcCdGa
_cell_length_a 7.801
_cell_length_b 7.801
_cell_length_c 7.801
_cell_angle_alpha 90.00
_cell_angle_beta 90.00
_cell_angle_gamma 90.00
_symmetry_space_group_name_H-M 'F -4 3 m'
_symmetry_Int_Tables_number 216
_symmetry_space_group_name_Hall 'F -4 2 3'
loop_
_atom_site_label
_atom_site_type_symbol
_atom_site_fract_x
_atom_site_fract_y
_atom_site_fract_z
_atom_site_occupancy
Ca1 Ca 0.000 0.000 0.000 1
Ac1 Ac 0.000 0.000 0.500 1
Cd1 Cd 0.250 0.250 0.250 1
Ga1 Ga 0.250 0.250 0.750 1

=====

(18)
# PBE Be2Co2Re, relaxed
# **E_form**: -169 meV per atom
# **Energy relative to the lowest polymorph listed for this composition**: 0 meV/atom
# **Mass density**: 10.6 g/cm3
# **Electronic total energy**: -6.992 eV/atom
data_Be2Co2Re
_cell_length_a 6.241
_cell_length_b 6.241
_cell_length_c 2.588
_cell_angle_alpha 90.00
_cell_angle_beta 90.00
_cell_angle_gamma 90.00
_symmetry_space_group_name_H-M 'P 4/m b m'
_symmetry_Int_Tables_number 127
_symmetry_space_group_name_Hall '-P 4 2ab'
loop_
_atom_site_label
_atom_site_type_symbol
_atom_site_fract_x
_atom_site_fract_y
_atom_site_fract_z
_atom_site_occupancy
Be1 Be 0.124 0.376 0.000 1
Co1 Co 0.170 0.670 0.500 1
Re1 Re 0.000 0.000 0.000 1

=====

(19)
# PBE PmNbCo4, relaxed
# **E_form**: 28 meV per atom
# **Mass density**: 9.2 g/cm3
# **Electronic total energy**: -7.180 eV/atom
data_PmNbCo4
_cell_length_a 6.993
_cell_length_b 6.993
_cell_length_c 6.993
_cell_angle_alpha 90.00
_cell_angle_beta 90.00
_cell_angle_gamma 90.00
_symmetry_space_group_name_H-M 'F -4 3 m'
_symmetry_Int_Tables_number 216
_symmetry_space_group_name_Hall 'F -4 2 3'
loop_
_atom_site_label
_atom_site_type_symbol
_atom_site_fract_x
_atom_site_fract_y
_atom_site_fract_z
_atom_site_occupancy
Pm1 Pm 0.000 0.000 0.000 1
Nb1 Nb 0.250 0.250 0.250 1
Co1 Co 0.125 0.125 0.625 1

=====

(20)
# PBE AcBi2O5, relaxed
# **E_form (uncorrected)**: -1785.3 meV/atom
# **Energy relative to the lowest polymorph listed for this composition**: 0 meV/atom
# **Mass density**: 8.3 g/cm3
# **Electronic total energy**: -6.368 eV/atom
data_AcBi2O5
_cell_length_a 4.274
_cell_length_b 12.322
_cell_length_c 10.992
_cell_angle_alpha 90.00
_cell_angle_beta 90.00
_cell_angle_gamma 90.00
_symmetry_space_group_name_H-M 'C m c m'
_symmetry_Int_Tables_number 63
_symmetry_space_group_name_Hall '-C 2c 2'
loop_
_atom_site_label
_atom_site_type_symbol
_atom_site_fract_x
_atom_site_fract_y
_atom_site_fract_z
_atom_site_occupancy
Ac1 Ac 0.000 0.098 0.250 1
Bi1 Bi 0.000 0.363 0.054 1
O1 O 0.000 0.163 0.013 1
O2 O 0.000 0.299 0.250 1
O3 O 0.000 0.462 0.628 1